Compound: Ca2MnGeO6
Source: Alexandria via LeMat-Bulk
Functional: GGA+U
Structure: optimized geometry

Geometry as POSCAR:
```
Ca2MnGeO6
1.0
5.335 0.000 0.000
0.000 5.386 0.000
-5.331 0.000 7.553
Ca Mn Ge O
4 2 2 12
direct
0.241 0.042 0.250
0.241 0.458 0.750
0.759 0.542 0.250
0.759 0.958 0.750
0.000 0.000 0.500
0.000 0.500 0.000
0.500 0.000 0.000
0.500 0.500 0.500
0.172 0.209 0.960
0.172 0.291 0.460
0.252 0.713 0.960
0.252 0.787 0.460
0.328 0.017 0.752
0.328 0.483 0.252
0.672 0.517 0.748
0.672 0.983 0.248
0.748 0.213 0.540
0.748 0.287 0.040
0.828 0.709 0.540
0.828 0.791 0.040
```

## Properties
**Space-group type**: P2_1/c, No. 14
**Calculated total energy**: -134.7 eV per cell